Ti11Pd9Pt4 | GGA-PBE | relaxed

Computed properties:
* formation energy from the elements: -15.05 kcal/mol of atoms
* density of states at the Fermi level: 0.97 states/eV/atom
* magnetic moment: 3.967 μB per formula unit
* volume: 383 Å³ per cell

abc: 12.080 12.080 2.944
angles: 90.00 90.00 117.02
Element x y z (fractional)
Ti (0.000, 0.000, 0.000)
Ti (0.044, 0.398, 0.000)
Ti (0.174, 0.826, 0.000)
Ti (0.271, 0.271, 0.000)
Ti (0.367, 0.633, 0.000)
Ti (0.398, 0.044, 0.000)
Ti (0.602, 0.956, 0.000)
Ti (0.633, 0.367, 0.000)
Ti (0.729, 0.729, 0.000)
Ti (0.826, 0.174, 0.000)
Ti (0.956, 0.602, 0.000)
Pd (0.041, 0.194, 0.500)
Pd (0.156, 0.619, 0.500)
Pd (0.194, 0.041, 0.500)
Pd (0.381, 0.844, 0.500)
Pd (0.500, 0.500, 0.500)
Pd (0.619, 0.156, 0.500)
Pd (0.806, 0.959, 0.500)
Pd (0.844, 0.381, 0.500)
Pd (0.959, 0.806, 0.500)
Pt (0.242, 0.436, 0.500)
Pt (0.436, 0.242, 0.500)
Pt (0.564, 0.758, 0.500)
Pt (0.758, 0.564, 0.500)